[1]
The following is a DFT calculation (GGA-PBE) of a relaxed Pm12Sn6Au crystal.

Cell lengths 8.938, 8.938, 8.938 Å; angles 99.85, 99.85, 99.85 degrees
Fractional coordinates of all 19 atoms:
Sn (0.689, 0.875, 0.372)
Sn (0.875, 0.372, 0.689)
Sn (0.125, 0.628, 0.311)
Sn (0.372, 0.689, 0.875)
Sn (0.311, 0.125, 0.628)
Sn (0.628, 0.311, 0.125)
Pm (0.323, 0.055, 0.965)
Pm (0.945, 0.035, 0.677)
Pm (0.192, 0.424, 0.563)
Pm (0.055, 0.965, 0.323)
Pm (0.965, 0.323, 0.055)
Pm (0.563, 0.192, 0.424)
Pm (0.677, 0.945, 0.035)
Pm (0.437, 0.808, 0.576)
Pm (0.808, 0.576, 0.437)
Pm (0.576, 0.437, 0.808)
Pm (0.424, 0.563, 0.192)
Pm (0.035, 0.677, 0.945)
Au (0.000, 0.000, 0.000)

- Magnetic moment: 0.000 μB per cell
- Energy relative to the elements: -0.41 eV per atom
- Crystal system: trigonal
- SG: R-3 (148)
- V: 678.29 Å³ per cell

=====

[2]
The following is a DFT calculation (GGA-PBE) of a relaxed AcHo5 crystal.

Cell lengths 5.699, 5.699, 6.996 Å; angles 89.99, 90.00, 120.00 degrees
Fractional coordinates of all 6 atoms:
Ho (0.972, 0.945, 0.981)
Ho (0.972, 0.944, 0.463)
Ho (0.306, 0.611, 0.222)
Ho (0.639, 0.278, 0.981)
Ho (0.639, 0.277, 0.463)
Ac (0.306, 0.611, 0.722)

- Magnetic moment: 0.000 μB per cell
- Energy relative to the elements: 0.08 eV per atom
- Crystal system: hexagonal
- Energy above the most stable polymorph in this dataset: 0.030 eV per atom
- SG: P6/mmm (191)
- V: 196.79 Å³ per cell

=====

[3]
The following is a DFT calculation (GGA-PBE) of a relaxed Pm2Y2Ho2Tm crystal.

Cell lengths 5.685, 5.685, 8.803 Å; angles 71.16, 71.16, 60.00 degrees
Fractional coordinates of all 7 atoms:
Pm (0.861, 0.861, 0.416)
Pm (0.139, 0.139, 0.584)
Ho (0.428, 0.428, 0.717)
Ho (0.572, 0.572, 0.283)
Tm (0.000, 0.000, 0.000)
Y (0.286, 0.286, 0.141)
Y (0.714, 0.714, 0.859)

- Magnetic moment: 0.075 μB per cell
- Energy relative to the elements: 0.14 eV per atom
- Crystal system: trigonal
- SG: R-3m (166)
- V: 228.60 Å³ per cell

=====

[4]
The following is a DFT calculation (GGA-PBE) of a relaxed RbPdS2N crystal.

Cell lengths 5.264, 5.264, 3.765 Å; angles 90.00, 90.00, 90.00 degrees
Site moments in Bohr magnetons follow the coordinates.
Fractional coordinates of all 5 atoms:
Rb (0.500, 0.500, 0.500)  0.00
S (0.500, 0.000, 0.000)  -0.04
S (0.000, 0.500, 0.000)  -0.04
Pd (0.000, 0.000, 0.000)  0.03
N (0.000, 0.000, 0.500)  0.22

- Magnetic moment: 0.199 μB per cell
- Raw formation energy: 0.486 eV/atom
- Crystal system: tetragonal
- Energy above the most stable polymorph in this dataset: 0.000 eV per atom
- SG: P4/mmm (123)
- V: 104.33 Å³ per cell

=====

[5]
The following is a DFT calculation (GGA-PBE) of a relaxed SrBS2O8 crystal.

Cell lengths 5.048, 5.048, 6.870 Å; angles 90.00, 90.00, 120.00 degrees
Site moments in Bohr magnetons follow the coordinates.
Fractional coordinates of all 12 atoms:
S (0.333, 0.667, 0.760)  0.03
S (0.667, 0.333, 0.240)  0.03
O (0.339, 0.169, 0.173)  0.01
O (0.333, 0.667, 0.542)  0.01
O (0.667, 0.333, 0.458)  0.01
O (0.169, 0.831, 0.827)  0.01
O (0.169, 0.339, 0.827)  0.01
O (0.661, 0.831, 0.827)  0.01
O (0.831, 0.661, 0.173)  0.01
O (0.831, 0.169, 0.173)  0.01
Sr (0.000, 0.000, 0.500)  0.00
B (0.000, 0.000, 0.000)  0.21

- Magnetic moment: 0.450 μB per cell
- Raw formation energy: -1.288 eV/atom
- Crystal system: trigonal
- SG: P-3m1 (164)
- V: 151.63 Å³ per cell

=====

[6]
The following is a DFT calculation (GGA-PBE) of a relaxed MnCrIr crystal.

Cell lengths 3.991, 3.991, 3.991 Å; angles 60.00, 60.00, 60.00 degrees
Site moments in Bohr magnetons follow the coordinates.
Fractional coordinates of all 3 atoms:
Ir (0.500, 0.500, 0.500)  0.13
Mn (0.750, 0.750, 0.750)  -1.63
Cr (0.000, 0.000, 0.000)  2.58

- Magnetic moment: 1.280 μB per cell
- Energy relative to the elements: 0.33 eV per atom
- Crystal system: cubic
- Energy above the most stable polymorph in this dataset: 0.436 eV per atom
- SG: F-43m (216)
- V: 44.97 Å³ per cell